VASP calculation (PBE) on HgBPd3 after structural relaxation.

a = 4.237 Å, b = 4.237 Å, c = 4.237 Å
α = 90.00°, β = 90.00°, γ = 90.00°
Sites, in units of the cell vectors:
B1 0.000 0.000 0.000
Hg1 0.500 0.500 0.500
Pd1 0.000 0.500 0.000
Pd2 0.000 0.000 0.500
Pd3 0.500 0.000 0.000

Output
- calculated formation energy (meV/atom) = -179.0
- energy relative to the lowest polymorph listed for this composition (meV/atom) = 0